VRe2I2: optimized geometry, PBE.

Geometry as POSCAR:
```
VRe2I2
1.0
-3.8286 -2.0881 0.5905
1.1565 -2.9767 -3.0280
1.1312 -5.8637 2.9984
I Re V
2 2 1
Direct
0.3682 0.3682 0.2636
0.6318 0.6318 0.7364
0.7500 0.2500 0.5000
0.2500 0.7500 0.5000
0.0000 0.0000 0.0000
```

## Properties
Energy above the lowest structure with this stoichiometry   0 meV/atom
DOS at the Fermi energy   6.04 states/eV per cell
Magnetic moment   3.41 μB per formula unit
Formation energy (no corrections)   1701 meV/atom

***

FeTcW2: optimized geometry, PBE.

Geometry as POSCAR:
```
FeTcW2
1.0
-1.5605 1.0746 3.9477
-2.2581 -2.9363 2.3352
1.7633 -1.7553 3.6033
W Tc Fe
2 1 1
Direct
0.2500 0.2500 0.2500
0.0000 0.0000 0.0000
0.7500 0.7500 0.7500
0.5000 0.5000 0.5000
```

## Properties
Energy above the lowest structure with this stoichiometry   43 meV/atom
Formation energy from the elements   0.147 eV/atom
DOS at the Fermi energy   4.10 states/eV per cell
Magnetic moment   2.75 μB per formula unit

***

AcAl2Cd: optimized geometry, PBE.

Geometry as POSCAR:
```
AcAl2Cd
1.0
4.9210 0.0000 0.0000
-2.4605 5.7000 0.0000
0.0000 0.0000 7.1833
Al Ac Cd
4 2 2
Direct
0.6084 0.2167 0.4373
0.6084 0.2167 0.0627
0.3916 0.7833 0.9373
0.3916 0.7833 0.5627
0.8984 0.7968 0.2500
0.1016 0.2032 0.7500
0.1965 0.3929 0.2500
0.8035 0.6071 0.7500
```

## Properties
Formation energy from the elements   -0.270 eV/atom
DOS at the Fermi energy   4.16 states/eV per cell
Magnetic moment   0.00 μB per formula unit

***

Pm2AsN: optimized geometry, PBE.

Geometry as POSCAR:
```
Pm2AsN
1.0
3.8033 0.0000 0.0000
1.9016 3.2937 0.0000
1.9016 1.0979 6.9075
N Pm As
1 2 1
Direct
0.4961 0.4961 0.5116
0.2428 0.2428 0.2717
0.0943 0.0943 0.7171
0.6668 0.6668 0.9996
```

## Properties
Energy above the lowest structure with this stoichiometry   0 meV/atom
DOS at the Fermi energy   0.55 states/eV per cell
Magnetic moment   0.00 μB per formula unit
Formation energy (no corrections)   -1036 meV/atom

***

AlInRe2: optimized geometry, PBE.

Geometry as POSCAR:
```
AlInRe2
1.0
-4.1107 2.2927 -0.6006
-3.1247 1.4595 -3.2590
-3.2899 -3.8444 -0.0153
Re In Al
2 1 1
Direct
0.0075 0.0075 0.9639
0.4925 0.4925 0.5361
0.2500 0.2500 0.2500
0.7500 0.7500 0.7500
```

## Properties
Energy above the lowest structure with this stoichiometry   228 meV/atom
Formation energy from the elements   0.330 eV/atom
DOS at the Fermi energy   2.44 states/eV per cell
Magnetic moment   0.00 μB per formula unit

***

BaLiUTe3: optimized geometry, PBE.

Geometry as POSCAR:
```
BaLiUTe3
1.0
-2.6537 3.2487 1.7347
-5.6440 -6.6154 3.7552
6.9130 1.9040 7.0097
U Ba Li Te
2 2 2 6
Direct
0.2500 0.6696 0.1518
0.7500 0.3304 0.8482
0.2500 0.1934 0.2442
0.7500 0.8066 0.7558
0.7500 0.9141 0.4088
0.2500 0.0859 0.5912
0.7500 0.8927 0.1291
0.2500 0.1073 0.8709
0.7500 0.2201 0.5245
0.7500 0.4484 0.1711
0.2500 0.5516 0.8289
0.2500 0.7799 0.4755
```

## Properties
DOS at the Fermi energy   12.16 states/eV per cell
Magnetic moment   2.97 μB per formula unit
Formation energy (no corrections)   -1090 meV/atom